Entry 1:
Density functional theory data (SCAN) for Cs2CdGaFe at its PBEsol-relaxed geometry.

Cell and atoms, written as POSCAR:
```
Cs2CdGaFe
1.0
7.051 0.000 0.000
0.000 7.051 0.000
0.000 0.000 4.886
Cs Cd Ga Fe
2 1 1 1
Cartesian
0.000 3.525 0.000
3.525 0.000 0.000
0.000 0.000 0.000
0.000 0.000 2.443
3.525 3.525 2.443
```

Calculated values
Formation enthalpy at 0 K: 744 meV/atom
Space group: P4/mmm, No. 123

=====

Entry 2:
Density functional theory data (SCAN) for WBr3 at its PBEsol-relaxed geometry.

Cell and atoms, written as POSCAR:
```
WBr3
1.0
-1.564 2.425 6.437
1.564 -2.425 6.437
1.564 2.425 -6.437
W Br
1 3
Cartesian
0.000 0.000 0.000
1.564 0.000 2.040
0.000 0.000 6.437
0.000 2.425 4.396
```

Calculated values
Relative energy among the computed polymorphs: 0.318 eV/atom
Space group: Immm, No. 71
E_form (uncorrected): 1.1 eV/f.u.

=====

Entry 3:
Density functional theory data (SCAN) for AgMoIr at its PBEsol-relaxed geometry.

Cell and atoms, written as POSCAR:
```
AgMoIr
1.0
0.000 2.976 2.976
2.976 0.000 2.976
2.976 2.976 0.000
Ag Mo Ir
1 1 1
Cartesian
0.000 0.000 0.000
1.488 1.488 1.488
4.464 4.464 4.464
```

Calculated values
Formation enthalpy at 0 K: 1375 meV/atom
Space group: F-43m, No. 216

=====

Entry 4:
Density functional theory data (SCAN) for KTiAuCl2 at its PBEsol-relaxed geometry.

Cell and atoms, written as POSCAR:
```
KTiAuCl2
1.0
5.191 0.000 0.000
0.000 5.191 0.000
0.000 0.000 5.658
K Ti Au Cl
1 1 1 2
Cartesian
0.000 0.000 0.000
2.596 2.596 0.000
0.000 0.000 2.829
0.000 2.596 2.829
2.596 0.000 2.829
```

Calculated values
Space group: P4/mmm, No. 123
E_form (uncorrected): 1.1 eV/f.u.

=====

Entry 5:
Density functional theory data (SCAN) for Ca2TcAs at its PBEsol-relaxed geometry.

Cell and atoms, written as POSCAR:
```
Ca2TcAs
1.0
3.308 0.000 0.000
0.000 3.308 0.000
0.000 0.000 8.355
Ca Tc As
2 1 1
Cartesian
0.000 0.000 0.000
1.654 1.654 3.309
0.000 0.000 5.375
1.654 1.654 6.380
```

Calculated values
Formation enthalpy at 0 K: -277 meV/atom
Space group: P4mm, No. 99

=====

Entry 6:
Density functional theory data (SCAN) for Mg2CdCl at its PBEsol-relaxed geometry.

Cell and atoms, written as POSCAR:
```
Mg2CdCl
1.0
3.776 -3.656 0.000
3.776 3.656 0.000
-0.187 0.000 3.091
Mg Cd Cl
2 1 1
Cartesian
1.888 1.828 0.000
1.888 -1.828 0.000
-0.093 0.000 1.545
3.683 0.000 1.545
```

Calculated values
Relative energy among the computed polymorphs: 0.080 eV/atom
Space group: C2/m, No. 12
E_form (uncorrected): -1.7 eV/f.u.

=====

Entry 7:
Density functional theory data (SCAN) for As2RhSeBr at its PBEsol-relaxed geometry.

Cell and atoms, written as POSCAR:
```
As2RhSeBr
1.0
4.917 0.000 0.000
0.000 4.917 0.000
0.000 0.000 4.846
As Rh Se Br
2 1 1 1
Cartesian
0.000 2.459 0.000
2.459 0.000 0.000
0.000 0.000 2.423
2.459 2.459 2.423
2.459 2.459 0.000
```

Calculated values
Space group: P4/mmm, No. 123
E_form (uncorrected): 8.2 eV/f.u.

=====

Entry 8:
Density functional theory data (SCAN) for PrSBr at its PBEsol-relaxed geometry.

Cell and atoms, written as POSCAR:
```
PrSBr
1.0
6.885 0.000 0.000
0.000 13.678 0.000
0.000 0.000 7.067
Pr S Br
8 8 8
Cartesian
1.668 1.268 0.244
1.668 5.570 3.777
1.774 8.107 0.244
1.774 12.409 3.777
5.111 1.268 3.290
5.111 5.570 6.823
5.217 8.107 3.290
5.217 12.409 6.823
0.010 0.351 5.240
0.010 6.488 1.706
3.432 7.190 5.240
3.432 13.327 1.706
3.453 0.351 5.361
3.453 6.488 1.827
6.875 7.190 5.361
6.875 13.327 1.827
1.051 9.662 2.765
1.051 10.855 6.299
2.392 2.823 2.765
2.392 4.016 6.299
4.493 9.662 0.768
4.493 10.855 4.302
5.834 2.823 0.768
5.834 4.016 4.302
```

Calculated values
Space group: Pbca, No. 61
E_form (uncorrected): -6.9 eV/f.u.